No. 1
First-principles (GGA-PBEsol) data for an optimized crystal structure of BiI3, as listed in the Alexandria database.

```
8
Lattice="7.5326 0.0000 0.0000 -3.7663 6.5234 0.0000 0.0000 0.0000 7.0437" Properties=species:S:1:pos:R:3 pbc="T T T"
Bi 0.0000 4.3489 0.0000
Bi 3.7663 2.1745 0.0000
I -1.2748 2.2079 1.8002
I -2.4915 4.3154 5.2435
I 2.5495 0.0000 1.8002
I 1.2748 2.2079 5.2435
I 4.9830 0.0000 5.2435
I 2.4915 4.3154 1.8002
```

Computed properties:
Total DFT energy (no corrections) ... -22.66 eV for the cell shown
ΔE_f (raw) ... -437 meV/atom
Total magnetic moment ... 0.00 μB per formula unit
SG ... No. 162

---

No. 2
First-principles (GGA-PBEsol) data for an optimized crystal structure of ZnFe2Br, as listed in the Alexandria database.

```
4
Lattice="1.5404 -2.4157 0.0000 1.5404 2.4157 0.0000 0.0000 0.0000 8.0213" Properties=species:S:1:pos:R:3 pbc="T T T"
Zn 0.0000 0.0000 0.0000
Fe 1.5404 0.0000 1.9669
Fe 1.5404 0.0000 6.0543
Br 0.0000 0.0000 4.0106
```

Computed properties:
Total DFT energy (no corrections) ... -18.89 eV for the cell shown
ΔE_f (raw) ... 622 meV/atom
Total magnetic moment ... 5.56 μB per formula unit
SG ... No. 65